[1]
SbPHI2 after structural relaxation. Source: Alexandria, functional GGA-PBE.

Cell: 5.726 5.726 5.159 Å, 90.00 90.00 90.00°
Sites, in units of the cell vectors:
I 0.000 0.500 0.000
I 0.500 0.000 0.000
Sb 0.000 0.000 0.500
H 0.500 0.500 0.500
P 0.000 0.000 0.000

Computed properties:
DOS at the Fermi energy: 0.67 states/eV/atom
Energy above the most stable polymorph in this dataset: 7 meV per atom
Crystal system: tetragonal



[2]
PH2SeI after structural relaxation. Source: Alexandria, functional GGA-PBE.

Cell: 3.818 6.311 3.818 Å, 90.00 90.00 90.00°
Sites, in units of the cell vectors:
I 0.000 0.000 0.000
P 0.000 0.500 0.000
Se 0.500 0.500 0.500
H 0.000 0.000 0.500
H 0.500 0.000 0.000

Computed properties:
DOS at the Fermi energy: 0.37 states/eV/atom
Crystal system: tetragonal
Electronic total energy: -2.814 eV/atom